VASP calculation (PBE) on a relaxed structure of Ca2AsBr.

Computed properties:
VASP energy = -3.91 eV/atom
DOS at the Fermi energy = 0.20 states/eV/f.u.

Unit cell a=7.981 b=7.981 c=7.981 alpha=151.54 beta=150.70 gamma=41.30
Atoms (fractional coordinates):
Br: 0.290 0.790 0.500
Ca: 0.979 0.979 0.000
Ca: 0.685 0.185 0.500
As: 0.545 0.545 0.000

VASP calculation (PBE) on a relaxed structure of KMg2Se.

Computed properties:
VASP energy = -2.31 eV/atom
DOS at the Fermi energy = 2.79 states/eV/f.u.

Unit cell a=9.012 b=9.012 c=7.089 alpha=50.53 beta=50.53 gamma=90.00
Atoms (fractional coordinates):
K: 0.500 0.500 0.000
K: 0.250 0.750 0.500
Mg: 0.707 0.125 0.250
Mg: 0.375 0.293 0.750
Se: 0.750 0.250 0.500
Mg: 0.875 0.957 0.750
Se: 0.000 0.000 0.000
Mg: 0.043 0.625 0.250

VASP calculation (PBE) on a relaxed structure of NdAu3.

Computed properties:
VASP energy = -4.28 eV/atom
energy relative to the elements = -0.63 eV/atom
DOS at the Fermi energy = 1.24 states/eV/f.u.

Unit cell a=5.010 b=5.010 c=4.976 alpha=120.23 beta=120.23 gamma=90.00
Atoms (fractional coordinates):
Au: 0.500 0.500 0.000
Au: 0.750 0.250 0.500
Nd: 0.000 0.000 0.000
Au: 0.250 0.750 0.500

VASP calculation (PBE) on a relaxed structure of ErNiGe.

Computed properties:
VASP energy = -5.80 eV/atom
energy relative to the elements = -0.81 eV/atom
DOS at the Fermi energy = 1.76 states/eV/f.u.

Unit cell a=4.217 b=6.862 c=7.247 alpha=90.00 beta=90.00 gamma=90.00
Atoms (fractional coordinates):
Ge: 0.250 0.303 0.911
Er: 0.250 0.492 0.294
Ni: 0.750 0.807 0.418
Ni: 0.750 0.307 0.082
Er: 0.250 0.992 0.206
Ni: 0.250 0.193 0.582
Ni: 0.250 0.693 0.918
Ge: 0.750 0.697 0.089
Ge: 0.750 0.197 0.411
Ge: 0.250 0.803 0.589
Er: 0.750 0.508 0.706
Er: 0.750 0.008 0.794

VASP calculation (PBE) on a relaxed structure of Ca2SnGePt6.

Computed properties:
VASP energy = -5.47 eV/atom
energy relative to the elements = -0.59 eV/atom
DOS at the Fermi energy = 3.27 states/eV/f.u.

Unit cell a=5.613 b=8.648 c=8.648 alpha=37.88 beta=71.07 gamma=90.00
Atoms (fractional coordinates):
Pt: 0.746 0.755 0.508
Sn: 0.000 0.000 0.000
Ca: 0.707 0.293 0.585
Pt: 0.254 0.746 0.991
Pt: 0.746 0.254 0.009
Pt: 0.755 0.746 0.991
Pt: 0.254 0.245 0.492
Pt: 0.245 0.254 0.009
Ge: 0.500 0.500 0.000
Ca: 0.293 0.707 0.415

VASP calculation (PBE) on a relaxed structure of SmY3Sc2As6.

Computed properties:
VASP energy = -6.86 eV/atom
energy relative to the elements = -1.47 eV/atom
DOS at the Fermi energy = 2.05 states/eV/f.u.

Unit cell a=7.040 b=7.040 c=7.039 alpha=99.62 beta=99.62 gamma=120.00
Atoms (fractional coordinates):
As: 0.575 0.919 0.758
Sm: 0.000 0.000 0.000
Y: 0.500 0.500 0.500
Y: 0.836 0.164 0.500
Y: 0.164 0.836 0.500
As: 0.081 0.425 0.242
Sc: 0.332 0.668 0.000
As: 0.919 0.575 0.758
Sc: 0.668 0.332 0.000
As: 0.425 0.081 0.242
As: 0.735 0.735 0.240
As: 0.265 0.265 0.760

VASP calculation (PBE) on a relaxed structure of Pr4Nd2YTm2.

Computed properties:
VASP energy = -4.87 eV/atom
energy relative to the elements = 0.02 eV/atom
DOS at the Fermi energy = 14.99 states/eV/f.u.

Unit cell a=5.168 b=8.179 c=8.110 alpha=107.65 beta=90.00 gamma=108.42
Atoms (fractional coordinates):
Pr: 0.778 0.556 0.671
Y: 0.000 0.000 0.000
Tm: 0.332 0.665 0.000
Tm: 0.668 0.335 0.000
Pr: 0.555 0.109 0.330
Nd: 0.112 0.224 0.670
Pr: 0.445 0.891 0.670
Nd: 0.888 0.776 0.330
Pr: 0.222 0.444 0.329

VASP calculation (PBE) on a relaxed structure of Te3Cl2.

Computed properties:
VASP energy = -2.68 eV/atom
DOS at the Fermi energy = 3.04 states/eV/f.u.

Unit cell a=10.683 b=9.391 c=6.558 alpha=82.04 beta=60.52 gamma=37.44
Atoms (fractional coordinates):
Cl: 0.276 0.592 0.318
Te: 0.445 0.789 0.369
Cl: 0.814 0.318 0.592
Te: 0.067 0.933 0.933
Te: 0.881 0.852 0.805
Te: 0.398 0.369 0.789
Te: 0.317 0.183 0.183
Cl: 0.658 0.974 0.436
Te: 0.461 0.805 0.852
Cl: 0.932 0.436 0.974

Question: Which value of DOS at the Fermi energy does entry 1 give?
Answer: 0.20 states/eV/f.u.